A relaxed Mn3Tl2I9 crystal. Source: Alexandria, functional GGA-PBE.

Unit cell a=10.4880 b=10.4880 c=15.0843 alpha=90.00 beta=90.00 gamma=120.00
With the nearest neighbours (Å) after each atom.
Fractional coordinates of all 28 atoms:
Tl 0.6667 0.3333 0.9954  6 I 3.58-3.64
I 0.9927 0.2564 0.7500  2 Mn 2.69
Mn 0.7433 0.9925 0.7500  4 I 2.63-2.69
I 0.3805 0.0076 0.0983  1 Mn 2.63
I 0.9924 0.3729 0.0983  1 Mn 2.63
I 0.0076 0.6271 0.5983  1 Mn 2.63
I 0.9924 0.3729 0.4017  1 Mn 2.63
Tl 0.6667 0.3333 0.5046  6 I 3.58-3.64
Mn 0.2567 0.0075 0.2500  4 I 2.63-2.69
I 0.2637 0.0073 0.7500  2 Mn 2.69
Mn 0.2493 0.2567 0.7500  4 I 2.63-2.69
I 0.0073 0.7436 0.2500  2 Mn 2.69
I 0.3805 0.0076 0.4017  1 Mn 2.63
I 0.3729 0.3805 0.9017  1 Mn 2.63
I 0.6271 0.6195 0.4017  1 Mn 2.63
Mn 0.9925 0.2493 0.2500  4 I 2.63-2.69
I 0.6195 0.9924 0.5983  1 Mn 2.63
I 0.7436 0.7363 0.7500  2 Mn 2.69
Mn 0.0075 0.7507 0.7500  4 I 2.63-2.69
I 0.6271 0.6195 0.0983  1 Mn 2.63
Tl 0.3333 0.6667 0.0046  6 I 3.58-3.64
Mn 0.7507 0.7433 0.2500  4 I 2.63-2.69
I 0.6195 0.9924 0.9017  1 Mn 2.63
I 0.0076 0.6271 0.9017  1 Mn 2.63
I 0.2564 0.2637 0.2500  2 Mn 2.69
I 0.7363 0.9927 0.2500  2 Mn 2.69
I 0.3729 0.3805 0.5983  1 Mn 2.63
Tl 0.3333 0.6667 0.4954  6 I 3.58-3.64

Summary:
Formation energy from raw total energies in eV per atom: -0.428
Magnetic moment in μB/atom: 1.000
Electronic total energy in hartree per atom: -0.1370
Symmetry: P6_3/m, No. 176

A relaxed Mn3TlI crystal. Source: Alexandria, functional GGA-PBE.

Unit cell a=5.3316 b=5.3316 c=5.3316 alpha=90.00 beta=90.00 gamma=90.00
With the nearest neighbours (Å) after each atom.
Fractional coordinates of all 5 atoms:
Mn 0.0000 0.5000 0.0000  2 Tl 2.67
Mn 0.5000 0.0000 0.0000  2 Tl 2.67
Mn 0.0000 0.0000 0.5000  2 Tl 2.67
Tl 0.0000 0.0000 0.0000  6 Mn 2.67
I 0.5000 0.5000 0.5000  12 Mn 3.77

Summary:
Formation energy from raw total energies in eV per atom: 1.016
Magnetic moment in μB/atom: 2.960
Electronic total energy in hartree per atom: -0.1936
Symmetry: Pm-3m, No. 221

A relaxed MnTl2I crystal. Source: Alexandria, functional GGA-PBE.

Unit cell a=5.6607 b=5.6607 c=5.6607 alpha=60.00 beta=60.00 gamma=60.00
With the nearest neighbours (Å) after each atom.
Fractional coordinates of all 4 atoms:
Mn 0.0000 0.0000 0.0000  8 Tl 3.47
Tl 0.7500 0.7500 0.7500  4 Mn 3.47, 4 I 3.47
Tl 0.2500 0.2500 0.2500  4 I 3.47, 4 Mn 3.47
I 0.5000 0.5000 0.5000  8 Tl 3.47

Summary:
Formation energy from raw total energies in eV per atom: 0.430
Magnetic moment in μB/atom: 1.031
Electronic total energy in hartree per atom: -0.1262
Symmetry: Fm-3m, No. 225